The following is a DFT calculation (PBE) of crystalline AsBrNF2 at its relaxed geometry.

a b c (Å): 4.802 4.802 3.688
angles (deg): 90.00 90.00 90.00
Fractional coordinates of all 5 atoms:
As: 0.500 0.500 0.500
N: 0.000 0.000 0.500
Br: 0.000 0.000 0.000
F: 0.000 0.500 0.000
F: 0.500 0.000 0.000

**Symmetry**: P4/mmm (123)
**E above lowest polymorph**: 4.68 eV per formula unit
**Formation energy without anion corrections**: 0.854 eV per atom
**Energy**: -2.824 eV/atom

***

The following is a DFT calculation (PBE) of crystalline YPuRh2 at its relaxed geometry.

a b c (Å): 3.468 4.831 4.831
angles (deg): 90.00 90.00 90.00
Fractional coordinates of all 4 atoms:
Y: 0.500 0.000 0.000
Rh: 0.000 0.000 0.500
Rh: 0.000 0.500 0.000
Pu: 0.500 0.500 0.500

**Symmetry**: P4/mmm (123)
**Calculated formation energy**: -609 meV/atom
**Energy**: -9.484 eV/atom

***

Q: What is the formula in the second record?
A: YPuRh2

***

Q: Which formula does entry 1 have?
A: AsBrNF2